A plane-wave DFT calculation with PBE was carried out for LiMnRh2C after structural relaxation.

Output
M_tot	0.96	μB/cell
density	5.65	g/cm³
symmetry	P4/mmm, No. 123
E_form	2.023	eV per atom
calculated volume	82	Å³ per cell

Geometry as POSCAR:
```
LiMnRh2C
1.0
4.358 0.000 0.000
0.000 4.330 0.000
0.000 0.000 4.358
C Mn Rh Li
1 1 2 1
direct
0.500 0.500 0.500
0.000 0.000 0.000
0.500 0.000 0.000
0.000 0.000 0.500
0.000 0.500 0.000
```